The following is a PBE calculation of a relaxed structure of TlAu2Cl8, from Alexandria.

- calculated volume (A^3/atom) = 31.8
- ρ (g/cm3) = 4.2
- formation energy from raw total energies (eV/atom) = -0.224
- D(E_F) (states/eV/cell) = 3.743
- total magnetization (μB per cell) = 0.0
- DFT total energy (eV per atom) = -2.38
- SG = C2/m

Cell: 7.5005 7.2715 7.2715 Å, 67.56 75.60 75.60°
Last column: nearest neighbours and their distance in Å.
Sites, in units of the cell vectors:
Cl 0.2195 0.3053 0.9076  1 Au 2.36
Cl 0.2742 0.4244 0.4244  1 Au 2.26
Cl 0.7805 0.6947 0.0924  1 Au 2.36
Au 0.2429 0.2438 0.2438  3 Cl 2.26-2.36
Au 0.7571 0.7562 0.7562  3 Cl 2.26-2.36
Cl 0.7460 0.1758 0.1758  1 Tl 2.39
Cl 0.7805 0.0924 0.6947  1 Au 2.36
Cl 0.7258 0.5756 0.5756  1 Au 2.26
Cl 0.2540 0.8242 0.8242  1 Tl 2.39
Tl 0.0000 0.0000 0.0000  2 Cl 2.39
Cl 0.2195 0.9076 0.3053  1 Au 2.36

The following is a PBE calculation of a relaxed structure of Y2CrCu, from Alexandria.

- calculated volume (A^3/atom) = 22.1
- ρ (g/cm3) = 5.5
- calculated formation energy (kcal/mol of atoms) = 2.25
- D(E_F) (states/eV/cell) = 3.199
- total magnetization (μB per cell) = 3.7
- DFT total energy (eV per atom) = -6.56
- SG = P4/mmm

Cell: 4.9858 4.9858 3.5572 Å, 90.00 90.00 90.01°
Last column: nearest neighbours and their distance in Å.
Sites, in units of the cell vectors:
Cu 0.0000 0.5000 0.5000  8 Y 3.06
Y 0.5000 0.5000 0.0000  4 Cr 3.06, 4 Cu 3.06
Cr 0.5000 0.0000 0.5000  8 Y 3.06
Y 0.0000 0.0000 0.0000  4 Cu 3.06, 4 Cr 3.06

The following is a PBE calculation of a relaxed structure of BaBe2Cr, from Alexandria.

- energy above the most stable polymorph in this dataset (eV per atom) = 0.392
- calculated volume (A^3/atom) = 22.6
- ρ (g/cm3) = 3.8
- calculated formation energy (kcal/mol of atoms) = 18.48
- D(E_F) (states/eV/cell) = 1.822
- total magnetization (μB per cell) = 3.7
- DFT total energy (eV per atom) = -3.95
- SG = Imm2

Cell: 5.2713 5.2713 5.2713 Å, 136.40 111.63 84.68°
Last column: nearest neighbours and their distance in Å.
Sites, in units of the cell vectors:
Cr 0.5929 0.5929 0.0000  3 Be 2.32-2.46
Ba 0.2331 0.7331 0.5000  4 Cr 3.16-3.42, 5 Be 3.20-3.50
Be 0.8900 0.8900 0.0000  2 Be 2.12, 1 Cr 2.32
Be 0.7840 0.2840 0.5000  2 Be 2.12

The following is a PBE calculation of a relaxed structure of La3Pr2Er4, from Alexandria.

- energy above the most stable polymorph in this dataset (eV per atom) = 0.000
- calculated volume (A^3/atom) = 34.0
- ρ (g/cm3) = 7.4
- calculated formation energy (kcal/mol of atoms) = 0.66
- D(E_F) (states/eV/cell) = 14.013
- total magnetization (μB per cell) = 0.0
- DFT total energy (eV per atom) = -4.70
- SG = P-1

Cell: 6.2509 5.1667 10.9186 Å, 90.01 105.98 114.34°
Last column: nearest neighbours and their distance in Å.
Sites, in units of the cell vectors:
La 0.3335 0.6670 0.5583  6 Er 3.61-3.68, 3 La 3.62-3.65, 3 Pr 3.66-3.70
La 0.6665 0.3330 0.4417  6 Er 3.61-3.68, 3 La 3.62-3.65, 3 Pr 3.66-3.70
Pr 0.6681 0.3340 0.7809  7 Er 3.60-3.64, 5 La 3.64-3.70
Pr 0.3319 0.6660 0.2191  7 Er 3.60-3.64, 5 La 3.64-3.70
La 0.0000 0.0000 0.0000  8 Er 3.62-3.64, 4 Pr 3.64
Er 0.9991 0.9997 0.3333  6 La 3.61-3.68, 3 Pr 3.62-3.64, 3 Er 3.64-3.65
Er 0.3314 0.6655 0.8890  4 Pr 3.60-3.62, 4 La 3.61-3.63, 4 Er 3.65-3.67
Er 0.0009 0.0003 0.6667  6 La 3.61-3.68, 3 Pr 3.62-3.64, 3 Er 3.64-3.65
Er 0.6686 0.3345 0.1110  4 Pr 3.60-3.62, 4 La 3.61-3.63, 4 Er 3.65-3.67

The following is a PBE calculation of a relaxed structure of Nd2LuBi, from Alexandria.

- energy above the most stable polymorph in this dataset (eV per atom) = 0.025
- calculated volume (A^3/atom) = 30.2
- ρ (g/cm3) = 9.3
- calculated formation energy (kcal/mol of atoms) = -8.52
- D(E_F) (states/eV/cell) = 4.056
- total magnetization (μB per cell) = 0.0
- DFT total energy (eV per atom) = -4.85
- SG = P4/mmm

Cell: 4.9511 4.9360 4.9360 Å, 90.00 90.00 90.00°
Last column: nearest neighbours and their distance in Å.
Sites, in units of the cell vectors:
Nd 0.0000 0.5000 0.0000  4 Nd 3.49, 4 Bi 3.50, 4 Lu 3.50
Lu 0.5000 0.0000 0.0000  4 Bi 3.49, 8 Nd 3.50
Nd 0.0000 0.0000 0.5000  4 Nd 3.49, 4 Bi 3.50, 4 Lu 3.50
Bi 0.5000 0.5000 0.5000  4 Lu 3.49, 8 Nd 3.50

The following is a PBE calculation of a relaxed structure of Th6AsSe3S2, from Alexandria.

- calculated volume (A^3/atom) = 25.5
- ρ (g/cm3) = 9.6
- formation energy from raw total energies (eV/atom) = -1.625
- D(E_F) (states/eV/cell) = 8.167
- total magnetization (μB per cell) = 0.0
- DFT total energy (eV per atom) = -7.28
- SG = C2/m

Cell: 7.1942 7.1942 7.2408 Å, 99.55 99.55 120.11°
Last column: nearest neighbours and their distance in Å.
Sites, in units of the cell vectors:
As 0.0000 0.0000 0.0000  6 Th 2.93-2.95
S 0.3315 0.6685 0.0000  6 Th 2.86-2.87
Se 0.5000 0.5000 0.5000  6 Th 2.96-3.01
Se 0.8403 0.1597 0.5000  6 Th 2.99-3.02
Th 0.5780 0.9200 0.7617  2 S 2.86-2.87, 1 As 2.95, 3 Se 3.00-3.02
Th 0.9200 0.5780 0.7617  2 S 2.86-2.87, 1 As 2.95, 3 Se 3.00-3.02
S 0.6685 0.3315 0.0000  6 Th 2.86-2.87
Th 0.4220 0.0800 0.2383  2 S 2.86-2.87, 1 As 2.95, 3 Se 3.00-3.02
Th 0.0800 0.4220 0.2383  2 S 2.86-2.87, 1 As 2.95, 3 Se 3.00-3.02
Se 0.1597 0.8403 0.5000  6 Th 2.99-3.02
Th 0.2663 0.2663 0.7684  2 S 2.86, 1 As 2.93, 3 Se 2.96-2.99
Th 0.7337 0.7337 0.2316  2 S 2.86, 1 As 2.93, 3 Se 2.96-2.99